Record 1
This record from Alexandria describes CsBrO2 after structural relaxation. The functional is PBE.

Lattice parameters (Å, degrees): 4.129 4.129 21.729 90.00 90.00 120.00
Atoms (fractional coordinates):
Cs  0.000  0.000  0.000
Cs  0.333  0.667  0.667
Cs  0.667  0.333  0.333
Br  0.000  0.000  0.500
Br  0.333  0.667  0.167
Br  0.667  0.333  0.833
O  0.000  0.000  0.415
O  0.000  0.000  0.585
O  0.333  0.667  0.081
O  0.333  0.667  0.252
O  0.667  0.333  0.748
O  0.667  0.333  0.919

Calculated values
Offset from the most stable computed form, meV/atom: 0
Energy relative to the elements, uncorrected, eV/atom: -0.398
Size of the total moment, Bohr magnetons per cell: 6.00
Space group: R-3m
Theoretical density, kg/m3: 3802
Crystal system: trigonal
E_tot, eV for the cell shown: -42.1

=====

Record 2
This record from Alexandria describes HgSb3S6 after structural relaxation. The functional is PBE.

Lattice parameters (Å, degrees): 8.880 8.880 6.970 90.00 90.00 102.64
Atoms (fractional coordinates):
Hg  0.234  0.766  0.500
Hg  0.766  0.234  0.000
Sb  0.062  0.302  0.392
Sb  0.302  0.062  0.892
Sb  0.373  0.627  0.985
Sb  0.627  0.373  0.485
Sb  0.698  0.938  0.392
Sb  0.938  0.698  0.892
S  0.054  0.946  0.702
S  0.109  0.543  0.733
S  0.214  0.786  0.150
S  0.294  0.379  0.181
S  0.379  0.294  0.681
S  0.457  0.891  0.733
S  0.543  0.109  0.233
S  0.621  0.706  0.181
S  0.706  0.621  0.681
S  0.786  0.214  0.650
S  0.891  0.457  0.233
S  0.946  0.054  0.202

Calculated values
Energy relative to the elements, uncorrected, eV/atom: -0.076
Size of the total moment, Bohr magnetons per cell: 0.00
Space group: Cmc2_1
Theoretical density, kg/m3: 4695
Crystal system: orthorhombic
E_tot, eV for the cell shown: -76.4

=====

Record 3
This record from Alexandria describes Hg2TeBr after structural relaxation. The functional is PBE.

Lattice parameters (Å, degrees): 4.291 4.645 7.376 84.94 73.58 62.50
Atoms (fractional coordinates):
Hg  0.061  0.168  0.214
Hg  0.939  0.832  0.786
Te  0.500  0.500  0.000
Br  0.500  0.000  0.500

Calculated values
Offset from the most stable computed form, meV/atom: 104
Energy relative to the elements, uncorrected, eV/atom: -0.152
Size of the total moment, Bohr magnetons per cell: 0.00
Space group: P-1
Theoretical density, kg/m3: 8088
Crystal system: triclinic
E_tot, eV for the cell shown: -6.0

=====

Record 4
This record from Alexandria describes Tb6Y3Tl after structural relaxation. The functional is PBE.

Lattice parameters (Å, degrees): 9.540 5.591 12.379 90.00 109.01 90.00
Atoms (fractional coordinates):
Tb  0.091  0.250  0.307
Tb  0.110  0.750  0.986
Tb  0.116  0.250  0.821
Tb  0.293  0.750  0.274
Tb  0.295  0.250  0.610
Tb  0.300  0.750  0.777
Tb  0.700  0.250  0.223
Tb  0.705  0.750  0.390
Tb  0.707  0.250  0.726
Tb  0.884  0.750  0.179
Tb  0.890  0.250  0.014
Tb  0.909  0.750  0.693
Y  0.102  0.750  0.479
Y  0.495  0.750  0.087
Y  0.498  0.750  0.584
Y  0.502  0.250  0.416
Y  0.505  0.250  0.913
Y  0.898  0.250  0.521
Tl  0.304  0.250  0.117
Tl  0.696  0.750  0.883

Calculated values
Offset from the most stable computed form, meV/atom: 0
DFT formation energy, meV/atom: -43
Size of the total moment, Bohr magnetons per cell: 0.00
Space group: P2_1/m
Theoretical density, kg/m3: 7578
Crystal system: monoclinic
E_tot, eV for the cell shown: -99.9

=====

Record 5
This record from Alexandria describes Y2CdW after structural relaxation. The functional is PBE.

Lattice parameters (Å, degrees): 4.442 4.442 9.439 90.00 90.00 90.00
Atoms (fractional coordinates):
Y  0.000  0.000  0.000
Y  0.000  0.500  0.250
Y  0.500  0.000  0.750
Y  0.500  0.500  0.500
Cd  0.000  0.500  0.750
Cd  0.500  0.000  0.250
W  0.000  0.000  0.500
W  0.500  0.500  0.000

Calculated values
DFT formation energy, meV/atom: 373
Size of the total moment, Bohr magnetons per cell: 0.00
Space group: I-4m2
Theoretical density, kg/m3: 8452
Crystal system: tetragonal
E_tot, eV for the cell shown: -50.6

=====

Record 6
This record from Alexandria describes NaSmP after structural relaxation. The functional is PBE.

Lattice parameters (Å, degrees): 10.183 10.183 10.183 27.25 27.25 27.25
Atoms (fractional coordinates):
Na  0.128  0.128  0.128
Na  0.872  0.872  0.872
Sm  0.289  0.289  0.289
Sm  0.711  0.711  0.711
P  0.386  0.386  0.386
P  0.614  0.614  0.614

Calculated values
DFT formation energy, meV/atom: -670
Size of the total moment, Bohr magnetons per cell: 0.00
Space group: R-3m
Theoretical density, kg/m3: 3475
Crystal system: trigonal
E_tot, eV for the cell shown: -26.9

=====

Copy entry 4 word for word.
This record from Alexandria describes Tb6Y3Tl after structural relaxation. The functional is PBE.

Lattice parameters (Å, degrees): 9.540 5.591 12.379 90.00 109.01 90.00
Atoms (fractional coordinates):
Tb  0.091  0.250  0.307
Tb  0.110  0.750  0.986
Tb  0.116  0.250  0.821
Tb  0.293  0.750  0.274
Tb  0.295  0.250  0.610
Tb  0.300  0.750  0.777
Tb  0.700  0.250  0.223
Tb  0.705  0.750  0.390
Tb  0.707  0.250  0.726
Tb  0.884  0.750  0.179
Tb  0.890  0.250  0.014
Tb  0.909  0.750  0.693
Y  0.102  0.750  0.479
Y  0.495  0.750  0.087
Y  0.498  0.750  0.584
Y  0.502  0.250  0.416
Y  0.505  0.250  0.913
Y  0.898  0.250  0.521
Tl  0.304  0.250  0.117
Tl  0.696  0.750  0.883

Calculated values
Offset from the most stable computed form, meV/atom: 0
DFT formation energy, meV/atom: -43
Size of the total moment, Bohr magnetons per cell: 0.00
Space group: P2_1/m
Theoretical density, kg/m3: 7578
Crystal system: monoclinic
E_tot, eV for the cell shown: -99.9

=====

Look up the size of the total moment of the fifth one.
0.00 Bohr magnetons per cell

=====

The highest size of the total moment belongs to which entry?
CsBrO2

=====

E_tot of number 1 (CsBrO2)?
-42.1 eV for the cell shown